[1]
## AgP2Os (PBEsol)

Data for AgP2Os after structural relaxation.

It has space group Imm2 (No. 44), with a = 2.8430 Å, b = 3.6147 Å, c = 12.1921 Å, α = 90.00°, β = 90.00° and γ = 90.00°. The asymmetric unit holds Ag at (0.0000, 0.0000, 0.0000), P at (0.0000, 0.0000, 0.6207), P at (0.0000, 0.5000, 0.8399) and Os at (0.0000, 0.5000, 0.2753).

As for the density of states at the Fermi level: 3.530 states/eV/cell. The total energy comes out at -6.632 eV/atom. As for the energy above the lowest structure with this stoichiometry: 0.00 eV per formula unit. As for the calculated volume: 125.3 Å³/cell.

***

[2]
## AgP2Os (PBEsol)

Data for AgP2Os after structural relaxation.

It has space group Pmm2 (No. 25), with a = 2.8793 Å, b = 3.7212 Å, c = 5.5262 Å, α = 90.00°, β = 90.00° and γ = 90.00°. The asymmetric unit holds Ag at (0.0000, 0.0000, 0.0000), P at (0.0000, 0.0000, 0.4672), P at (0.5000, 0.5000, 0.7801) and Os at (0.5000, 0.5000, 0.3572).

As for the density of states at the Fermi level: 2.191 states/eV/cell. The total energy comes out at -6.475 eV/atom. As for the energy above the lowest structure with this stoichiometry: 0.63 eV per formula unit. As for the calculated volume: 59.2 Å³/cell.

***

[3]
## AgP2Os (PBEsol)

Data for AgP2Os after structural relaxation.

It has space group P4/mmm (No. 123), with a = 4.3690 Å, b = 4.3690 Å, c = 2.9560 Å, α = 90.00°, β = 90.00° and γ = 90.00°. The asymmetric unit holds Ag at (0.0000, 0.0000, 0.0000), P at (0.0000, 0.5000, 0.5000) and Os at (0.5000, 0.5000, 0.0000).

As for the density of states at the Fermi level: 2.762 states/eV/cell. The total energy comes out at -6.290 eV/atom. As for the energy above the lowest structure with this stoichiometry: 1.37 eV per formula unit. As for the calculated volume: 56.4 Å³/cell.

***

[4]
## AgP2Os (PBEsol)

Data for AgP2Os after structural relaxation.

It has space group Cmm2 (No. 35), with a = 2.8361 Å, b = 4.7190 Å, c = 8.9833 Å, α = 90.00°, β = 90.00° and γ = 90.00°. The asymmetric unit holds Ag at (0.0000, 0.0000, 0.0000), P at (0.0000, 0.0000, 0.4781), P at (0.0000, 0.5000, 0.7488) and Os at (0.0000, 0.5000, 0.2752).

As for the density of states at the Fermi level: 5.236 states/eV/cell. The total energy comes out at -6.288 eV/atom. As for the energy above the lowest structure with this stoichiometry: 1.37 eV per formula unit. As for the calculated volume: 120.2 Å³/cell.

***

[5]
## Ag4POs (PBEsol)

Data for Ag4POs after structural relaxation.

It has space group F-43m (No. 216), with a = 7.3864 Å, b = 7.3864 Å, c = 7.3864 Å, α = 90.00°, β = 90.00° and γ = 90.00°. The asymmetric unit holds Ag at (0.1249, 0.1249, 0.1249), P at (0.0000, 0.0000, 0.5000) and Os at (0.2500, 0.2500, 0.7500).

As for the density of states at the Fermi level: 20.558 states/eV/cell. The total energy comes out at -4.208 eV/atom. As for the calculated volume: 403.0 Å³/cell.

***

[6]
## AgOs2Pb (PBEsol)

Data for AgOs2Pb after structural relaxation.

It has space group Pmmm (No. 47), with a = 2.8165 Å, b = 4.2846 Å, c = 5.7934 Å, α = 90.00°, β = 90.00° and γ = 90.00°. The asymmetric unit holds Ag at (0.0000, 0.0000, 0.0000), Os at (0.5000, 0.5000, 0.2083) and Pb at (0.0000, 0.0000, 0.5000).

As for the density of states at the Fermi level: 5.090 states/eV/cell. The total energy comes out at -6.800 eV/atom. As for the calculated volume: 69.9 Å³/cell.

***

[7]
## AgOs2Pb (PBEsol)

Data for AgOs2Pb after structural relaxation.

It has space group C2/m (No. 12), with a = 9.1797 Å, b = 2.9184 Å, c = 5.1819 Å, α = 90.00°, β = 102.52° and γ = 90.00°. The asymmetric unit holds Ag at (0.0000, 0.0000, 0.0000), Os at (0.2472, 0.0000, 0.7873) and Pb at (0.0000, 0.5000, 0.5000).

As for the density of states at the Fermi level: 7.263 states/eV/cell. The total energy comes out at -7.014 eV/atom. As for the calculated volume: 135.5 Å³/cell.

***

[8]
## TcAgOs2Pb (PBEsol)

Data for TcAgOs2Pb after structural relaxation.

It has space group P4/mmm (No. 123), with a = 4.9008 Å, b = 4.9008 Å, c = 4.8495 Å, α = 90.00°, β = 90.00° and γ = 90.00°. The asymmetric unit holds Tc at (0.0000, 0.0000, 0.0000), Ag at (0.5000, 0.5000, 0.0000), Os at (0.0000, 0.5000, 0.5000) and Pb at (0.5000, 0.5000, 0.5000).

As for the density of states at the Fermi level: 4.751 states/eV/cell. The total energy comes out at -5.590 eV/atom. As for the calculated volume: 116.5 Å³/cell.

***

[9]
## AgOs3Pd (PBEsol)

Data for AgOs3Pd after structural relaxation.

It has space group Pm-3m (No. 221), with a = 4.6425 Å, b = 4.6425 Å, c = 4.6425 Å, α = 90.00°, β = 90.00° and γ = 90.00°. The asymmetric unit holds Ag at (0.0000, 0.0000, 0.0000), Os at (0.0000, 0.0000, 0.5000) and Pd at (0.5000, 0.5000, 0.5000).

As for the density of states at the Fermi level: 9.105 states/eV/cell. The total energy comes out at -5.870 eV/atom. As for the calculated volume: 100.1 Å³/cell.

***

[10]
## Pm2AgOs (PBEsol)

Data for Pm2AgOs after structural relaxation.

It has space group Fm-3m (No. 225), with a = 7.0577 Å, b = 7.0577 Å, c = 7.0577 Å, α = 90.00°, β = 90.00° and γ = 90.00°. The asymmetric unit holds Pm at (0.2500, 0.2500, 0.2500), Ag at (0.0000, 0.0000, 0.0000) and Os at (0.0000, 0.0000, 0.5000).

As for the density of states at the Fermi level: 8.344 states/eV/cell. The total energy comes out at -6.574 eV/atom. As for the calculated volume: 351.6 Å³/cell.

***

[11]
## AgOsPt2 (PBEsol)

Data for AgOsPt2 after structural relaxation.

It has space group P4/mmm (No. 123), with a = 3.9062 Å, b = 3.9062 Å, c = 3.9182 Å, α = 90.00°, β = 90.00° and γ = 90.00°. The asymmetric unit holds Ag at (0.0000, 0.0000, 0.0000), Os at (0.5000, 0.5000, 0.0000) and Pt at (0.0000, 0.5000, 0.5000).

As for the density of states at the Fermi level: 5.365 states/eV/cell. The total energy comes out at -6.915 eV/atom. As for the energy above the lowest structure with this stoichiometry: 1.04 eV per formula unit. As for the calculated volume: 59.8 Å³/cell.

***

[12]
## AgOsPt2 (PBEsol)

Data for AgOsPt2 after structural relaxation.

It has space group Pmmm (No. 47), with a = 2.6820 Å, b = 4.7606 Å, c = 4.7640 Å, α = 90.00°, β = 90.00° and γ = 90.00°. The asymmetric unit holds Ag at (0.0000, 0.0000, 0.0000), Os at (0.5000, 0.5000, 0.0000), Pt at (0.0000, 0.5000, 0.5000) and Pt at (0.5000, 0.0000, 0.5000).

As for the density of states at the Fermi level: 5.368 states/eV/cell. The total energy comes out at -6.872 eV/atom. As for the energy above the lowest structure with this stoichiometry: 1.21 eV per formula unit. As for the calculated volume: 60.8 Å³/cell.

***

[13]
## AgOsPt2 (PBEsol)

Data for AgOsPt2 after structural relaxation.

It has space group R3m (No. 160, hexagonal axes), with a = 2.7532 Å, b = 2.7532 Å, c = 27.4325 Å, α = 90.00°, β = 90.00° and γ = 120.00°. The asymmetric unit holds Ag at (0.0000, 0.0000, 0.0000), Os at (0.0000, 0.0000, 0.7524), Pt at (0.0000, 0.0000, 0.2476) and Pt at (0.0000, 0.0000, 0.4966).

As for the density of states at the Fermi level: 9.495 states/eV/cell. The total energy comes out at -7.176 eV/atom. As for the energy above the lowest structure with this stoichiometry: 0.00 eV per formula unit. As for the calculated volume: 180.1 Å³/cell.

***

[14]
## AgOsRh2 (PBEsol)

Data for AgOsRh2 after structural relaxation.

It has space group R-3m (No. 166, hexagonal axes), with a = 2.7143 Å, b = 2.7143 Å, c = 26.8527 Å, α = 90.00°, β = 90.00° and γ = 120.00°. The asymmetric unit holds Ag at (0.0000, 0.0000, 0.0000), Os at (0.0000, 0.0000, 0.5000) and Rh at (0.0000, 0.0000, 0.2456).

As for the density of states at the Fermi level: 12.276 states/eV/cell. The total energy comes out at -7.831 eV/atom. As for the energy above the lowest structure with this stoichiometry: 0.05 eV per formula unit. As for the calculated volume: 171.3 Å³/cell.

***

[15]
## Ag3OsRh (PBEsol)

Data for Ag3OsRh after structural relaxation.

It has space group Pm-3m (No. 221), with a = 4.8576 Å, b = 4.8576 Å, c = 4.8576 Å, α = 90.00°, β = 90.00° and γ = 90.00°. The asymmetric unit holds Ag at (0.0000, 0.0000, 0.5000), Os at (0.0000, 0.0000, 0.0000) and Rh at (0.5000, 0.5000, 0.5000).

As for the density of states at the Fermi level: 9.873 states/eV/cell. The total energy comes out at -3.881 eV/atom. As for the energy above the lowest structure with this stoichiometry: 0.00 eV per formula unit. As for the calculated volume: 114.6 Å³/cell.